First-principles (PBE) data for a relaxed BaInAgGe2 crystal, as listed in Alexandria via LeMat-Bulk.

Lattice parameters (Å, degrees): 4.681 4.681 11.556 90.00 90.00 90.00
Space group I-4m2 (No. 119)
Unique sites:
1 Ba 0.000 0.000 0.000 x2
2 In 0.000 0.500 0.250 x2
3 Ag 0.000 0.500 0.750 x2
4 Ge 0.000 0.000 0.388 x4

Values from the calculation:
DFT formation energy   -0.328 eV/atom
Total energy   -3.677 eV/atom
Density of states at the Fermi level   1.9 states/eV/f.u.


First-principles (PBE) data for a relaxed Zr4GaBi crystal, as listed in Alexandria via LeMat-Bulk.

Lattice parameters (Å, degrees): 6.799 6.799 5.837 90.00 90.00 90.00
Space group P4/mcc (No. 124)
Unique sites:
1 Zr 0.138 0.334 0.000 x8
2 Ga 0.000 0.000 0.250 x2
3 Bi 0.500 0.500 0.250 x2

Values from the calculation:
DFT formation energy   -0.345 eV/atom
Total energy   -7.195 eV/atom
Density of states at the Fermi level   5.2 states/eV/f.u.
E above lowest polymorph   0.000 eV/atom


First-principles (PBE) data for a relaxed TbNdNi10 crystal, as listed in Alexandria via LeMat-Bulk.

Lattice parameters (Å, degrees): 3.961 4.928 8.527 90.00 90.00 90.00
Space group Pmmm (No. 47)
Unique sites:
1 Tb 0.000 0.000 0.000 x1
2 Nd 0.000 0.500 0.500 x1
3 Ni 0.000 0.000 0.330 x2
4 Ni 0.000 0.500 0.163 x2
5 Ni 0.500 0.000 0.500 x1
6 Ni 0.500 0.248 0.247 x4
7 Ni 0.500 0.500 0.000 x1

Values from the calculation:
DFT formation energy   -0.300 eV/atom
Total energy   -5.901 eV/atom
Density of states at the Fermi level   13.6 states/eV/f.u.


First-principles (PBE) data for a relaxed SmTmTl crystal, as listed in Alexandria via LeMat-Bulk.

Lattice parameters (Å, degrees): 7.365 7.365 7.365 90.00 90.00 90.00
Space group F-43m (No. 216)
Unique sites:
1 Sm 0.000 0.000 0.000 x4
2 Tm 0.000 0.000 0.500 x4
3 Tl 0.250 0.250 0.750 x4

Values from the calculation:
DFT formation energy   -0.028 eV/atom
Total energy   -3.880 eV/atom
Density of states at the Fermi level   4.9 states/eV/f.u.
E above lowest polymorph   0.226 eV/atom